Below is Er4Se7 after structural relaxation, with properties calculated at the GGA-PBE level.

Structure (extended XYZ):
```
11
Lattice="3.884 0.000 0.000 -0.998 5.751 0.000 -1.403 -2.677 14.090" Properties=species:S:1:pos:R:3 pbc="T T T"
Er 1.753 4.814 1.559
Er 2.773 -0.612 5.635
Er 0.359 2.241 7.912
Er 0.325 2.068 12.030
Se -0.419 2.679 1.007
Se 0.830 -0.505 3.596
Se 2.304 2.272 5.878
Se 0.836 -0.612 7.673
Se -1.588 2.331 9.954
Se 2.070 -0.003 12.638
Se -0.427 -2.598 13.822
```

Properties
Symmetry ... P1 (1)
Total DFT energy (no corrections) ... -59.3 eV/cell